# PBE with a Hubbard U CaTl4Ni4O12, optimized geometry
data_CaTl4Ni4O12
_chemical_formula_sum 'Ca1 Tl4 Ni4 O12'
_cell_length_a 5.598
_cell_length_b 5.693
_cell_length_c 8.843
_cell_angle_alpha 82.90
_cell_angle_beta 82.46
_cell_angle_gamma 80.35
_symmetry_space_group_name_H-M 'P 1'
_symmetry_Int_Tables_number 1
loop_
_symmetry_equiv_pos_as_xyz
'x,y,z'
loop_
_atom_site_label
_atom_site_type_symbol
_atom_site_fract_x
_atom_site_fract_y
_atom_site_fract_z
Ca1 Ca 0.000 0.000 0.000
Tl1 Tl 0.102 0.120 0.579
Tl2 Tl 0.304 0.328 0.142
Tl3 Tl 0.603 0.609 0.644
Tl4 Tl 0.614 0.785 0.231
Ni1 Ni 0.048 0.558 0.802
Ni2 Ni 0.088 0.700 0.390
Ni3 Ni 0.555 0.115 0.827
Ni4 Ni 0.631 0.211 0.404
O1 O 0.012 0.659 0.163
O2 O 0.207 0.727 0.621
O3 O 0.257 0.012 0.332
O4 O 0.355 0.412 0.880
O5 O 0.410 0.975 0.013
O6 O 0.413 0.498 0.336
O7 O 0.475 0.222 0.613
O8 O 0.721 0.172 0.187
O9 O 0.765 0.813 0.805
O10 O 0.768 0.889 0.454
O11 O 0.878 0.420 0.463
O12 O 0.885 0.277 0.796
# excess energy over the best structure of this formula in the dataset	0.071	eV/atom
# VASP energy	-4.670	eV per atom
# magnetization	5.970	μB/f.u.